Rb2BeNbCl6 | PBE | relaxed

N(E_F) ... 0.000 states/eV per atom
Formation energy from raw total energies ... -12.7 eV per formula unit
Volume ... 24.84 A^3/atom
Spin magnetization ... 6.000 Bohr magnetons per cell

a b c (Å): 6.844 6.844 10.609
angles (deg): 90.00 90.00 90.00
Space group I4/mmm (No. 139)
Symmetry-distinct sites (fractional):
Rb: 0.000 0.500 0.250 [4 per cell]
Be: 0.000 0.000 0.000 [2 per cell]
Nb: 0.000 0.000 0.500 [2 per cell]
Cl: 0.000 0.000 0.256 [4 per cell]
Cl: 0.228 0.228 0.000 [8 per cell]